[1]
Material: V8Fe2Si
Method: DFT, GGA-PBE
State: optimized geometry

raw formation energy: 0.042 eV/atom

abc: 10.919 4.798 5.734
angles: 90.00 106.72 90.00
Space group C2/m (No. 12)
One atom of each set of equivalent atoms:
V1 0.092 0.000 0.423
V2 0.099 0.238 0.906
V3 0.182 0.500 0.300
Fe1 0.226 0.500 0.714
Si1 0.000 0.500 0.500



[2]
Material: V3FeSi
Method: DFT, GGA-PBE
State: optimized geometry

raw formation energy: 0.630 eV/atom
E above lowest polymorph: 0.0 meV/atom

abc: 4.251 4.251 4.251
angles: 90.00 90.00 90.00
Space group Pm-3m (No. 221)
One atom of each set of equivalent atoms:
V1 0.000 0.000 0.500
Fe1 0.000 0.000 0.000
Si1 0.500 0.500 0.500



[3]
Material: V2FeSi
Method: DFT, GGA-PBE
State: optimized geometry

raw formation energy: 0.192 eV/atom

abc: 6.545 6.545 4.963
angles: 90.00 90.00 90.00
Space group I-42d (No. 122)
One atom of each set of equivalent atoms:
V1 0.217 0.750 0.125
Fe1 0.000 0.000 0.000
Si1 0.000 0.000 0.500



[4]
Material: V2FeSi
Method: DFT, GGA-PBE
State: optimized geometry

raw formation energy: -0.181 eV/atom

abc: 2.668 2.668 6.905
angles: 90.00 90.00 90.00
Space group P4/mmm (No. 123)
One atom of each set of equivalent atoms:
V1 0.000 0.000 0.231
Fe1 0.500 0.500 0.000
Si1 0.500 0.500 0.500



[5]
Material: V8FeSi2
Method: DFT, GGA-PBE
State: optimized geometry

raw formation energy: -0.210 eV/atom

abc: 13.037 4.130 5.732
angles: 90.00 110.94 90.00
Space group C2/m (No. 12)
One atom of each set of equivalent atoms:
V1 0.013 0.000 0.230
V2 0.107 0.500 0.912
V3 0.156 0.500 0.408
V4 0.167 0.000 0.689
Fe1 0.000 0.500 0.500
Si1 0.194 0.000 0.169



[6]
Material: V12Fe6Si
Method: DFT, GGA-PBE
State: optimized geometry

raw formation energy: 0.028 eV/atom

abc: 10.8364 10.8364 7.1848
angles: 90.00 90.00 120.00
Space group R-3 (No. 148, hexagonal axes)
One atom of each set of equivalent atoms:
V1 0.0423 0.8784 0.2821
V2 0.0603 0.8033 0.9408
Fe1 0.0294 0.7792 0.5607
Si1 0.0000 0.0000 0.0000



[7]
Material: V12FeSi6
Method: DFT, GGA-PBE
State: optimized geometry

raw formation energy: 0.127 eV/atom

abc: 10.2711 10.2711 9.1825
angles: 90.00 90.00 120.00
Space group R-3 (No. 148, hexagonal axes)
One atom of each set of equivalent atoms:
V1 0.0319 0.8503 0.3727
V2 0.0753 0.8754 0.8634
Fe1 0.0000 0.0000 0.0000
Si1 0.0399 0.6211 0.2880



[8]
Material: V3FeSi
Method: DFT, GGA-PBE
State: optimized geometry

raw formation energy: 0.912 eV/atom
E above lowest polymorph: 281.5 meV/atom

abc: 4.361 4.361 4.361
angles: 90.00 90.00 90.00
Space group Pm-3m (No. 221)
One atom of each set of equivalent atoms:
V1 0.000 0.000 0.500
Fe1 0.500 0.500 0.500
Si1 0.000 0.000 0.000



- Which of these has the highest raw formation energy?
  number 8



- What is the raw formation energy in the eighth record?
  0.912 eV/atom



- raw formation energy of number 4 (V2FeSi)?
  -0.181 eV/atom



- raw formation energy of number 4 (V2FeSi)?
  -0.181 eV/atom